No. 1
Entry from Alexandria: crystalline CrAgO2 at its relaxed geometry (PBEsol).

a = 2.9337 Å, b = 2.9337 Å, c = 18.3463 Å
α = 90.00°, β = 90.00°, γ = 120.00°
Space group R3m (No. 160, hexagonal axes)
Unique sites:
Cr  0.0000  0.0000  0.0000 x3
Ag  0.0000  0.0000  0.1618 x3
O  0.0000  0.0000  0.2801 x3
O  0.0000  0.0000  0.7231 x3

Calculated volume   137 Å³ per cell
ΔE_f (raw)   -4.9 eV per formula unit
Total magnetic moment   2.971 μB/f.u.

No. 2
Entry from Alexandria: crystalline CrAg2O4 at its relaxed geometry (PBEsol).

a = 9.883 Å, b = 6.871 Å, c = 5.470 Å
α = 90.00°, β = 90.00°, γ = 90.00°
Space group Pnma (No. 62)
Unique sites:
Cr  0.183  0.250  0.031 x4
Ag  0.000  0.000  0.500 x4
Ag  0.136  0.750  0.018 x4
O  0.113  0.053  0.156 x8
O  0.150  0.750  0.593 x4
O  0.152  0.250  0.733 x4

Calculated volume   371 Å³ per cell
ΔE_f (raw)   -7.2 eV per formula unit
Total magnetic moment   0.000 μB/f.u.

No. 3
Entry from Alexandria: crystalline CrAgO3 at its relaxed geometry (PBEsol).

a = 3.686 Å, b = 3.686 Å, c = 3.686 Å
α = 90.00°, β = 90.00°, γ = 90.00°
Space group Pm-3m (No. 221)
Unique sites:
Cr  0.000  0.000  0.000 x1
Ag  0.500  0.500  0.500 x1
O  0.000  0.000  0.500 x3

Calculated volume   50 Å³ per cell
ΔE_f (raw)   -5.3 eV per formula unit
Total magnetic moment   0.000 μB/f.u.

No. 4
Entry from Alexandria: crystalline CrAgO2 at its relaxed geometry (PBEsol).

a = 2.9685 Å, b = 2.9685 Å, c = 18.4357 Å
α = 90.00°, β = 90.00°, γ = 120.00°
Space group R-3m (No. 166, hexagonal axes)
Unique sites:
Cr  0.0000  0.0000  0.0000 x3
Ag  0.0000  0.0000  0.5000 x3
O  0.0000  0.0000  0.3867 x6

Calculated volume   141 Å³ per cell
ΔE_f (raw)   -5.2 eV per formula unit
Total magnetic moment   3.000 μB/f.u.